# 1
DFT (PBE) results for a geometry-optimized Rb3Pu5O12 structure.

Results
The total energy is -1478.5 eV for the cell shown.

Geometry as CIF:
```
data_Rb3Pu5O12
_cell_length_a 14.474
_cell_length_b 14.474
_cell_length_c 14.474
_cell_angle_alpha 90.00
_cell_angle_beta 90.00
_cell_angle_gamma 90.00
_space_group_name_H-M_alt 'I a -3 d'
_space_group_IT_number 230
_space_group_name_Hall '-I 4bd 2c 3'
loop_
_atom_site_label
_atom_site_fract_x
_atom_site_fract_y
_atom_site_fract_z
Rb1 0.000 0.250 0.125
Pu1 0.000 0.000 0.000
Pu2 0.000 0.250 0.375
O1 0.036 0.039 0.640
```

---

# 2
DFT (PBE) results for a geometry-optimized PaSi2MoRu structure.

Results
The total energy is -86.3 eV for the cell shown.

Geometry as CIF:
```
data_PaSi2MoRu
_cell_length_a 4.202
_cell_length_b 4.202
_cell_length_c 9.772
_cell_angle_alpha 90.00
_cell_angle_beta 90.00
_cell_angle_gamma 90.00
_space_group_name_H-M_alt 'I -4 m 2'
_space_group_IT_number 119
_space_group_name_Hall 'I -4 -2'
loop_
_atom_site_label
_atom_site_fract_x
_atom_site_fract_y
_atom_site_fract_z
Pa1 0.000 0.000 0.000
Si1 0.000 0.000 0.377
Mo1 0.000 0.500 0.250
Ru1 0.000 0.500 0.750
```

---

# 3
DFT (PBE) results for a geometry-optimized CsBa2Fe structure.

Results
The value obtained for the energy of formation is 0.80 eV/atom.

Geometry as CIF:
```
data_CsBa2Fe
_cell_length_a 8.476
_cell_length_b 8.476
_cell_length_c 8.476
_cell_angle_alpha 90.00
_cell_angle_beta 90.00
_cell_angle_gamma 90.00
_space_group_name_H-M_alt 'F m -3 m'
_space_group_IT_number 225
_space_group_name_Hall '-F 4 2 3'
loop_
_atom_site_label
_atom_site_fract_x
_atom_site_fract_y
_atom_site_fract_z
Cs1 0.000 0.000 0.000
Ba1 0.250 0.250 0.250
Fe1 0.000 0.000 0.500
```

---

# 4
DFT (PBE) results for a geometry-optimized PuNpGa2 structure.

Results
For the energy above the most stable polymorph in this dataset, the calculation gives 0.000 eV/atom. The value obtained for the energy of formation is -0.17 eV/atom.

Geometry as CIF:
```
data_PuNpGa2
_cell_length_a 4.298
_cell_length_b 4.298
_cell_length_c 4.511
_cell_angle_alpha 90.00
_cell_angle_beta 90.00
_cell_angle_gamma 90.00
_space_group_name_H-M_alt 'P 4/m m m'
_space_group_IT_number 123
_space_group_name_Hall '-P 4 2'
loop_
_atom_site_label
_atom_site_fract_x
_atom_site_fract_y
_atom_site_fract_z
Pu1 0.000 0.000 0.000
Np1 0.500 0.500 0.000
Ga1 0.000 0.500 0.500
```

---

# 5
DFT (PBE) results for a geometry-optimized Dy4Er3Rh4 structure.

Results
The value obtained for the energy of formation is -0.65 eV/atom.

Geometry as CIF:
```
data_Dy4Er3Rh4
_cell_length_a 3.644
_cell_length_b 8.913
_cell_length_c 15.913
_cell_angle_alpha 90.00
_cell_angle_beta 90.00
_cell_angle_gamma 90.00
_space_group_name_H-M_alt 'I m m m'
_space_group_IT_number 71
_space_group_name_Hall '-I 2 2'
loop_
_atom_site_label
_atom_site_fract_x
_atom_site_fract_y
_atom_site_fract_z
Dy1 0.000 0.187 0.164
Er1 0.000 0.000 0.398
Er2 0.000 0.500 0.500
Rh1 0.000 0.286 0.000
Rh2 0.000 0.500 0.246
```

---

# 6
DFT (PBE) results for a geometry-optimized AcCeNd2 structure.

Results
For the energy above the most stable polymorph in this dataset, the calculation gives 0.126 eV/atom. The value obtained for the energy of formation is 0.22 eV/atom.

Geometry as CIF:
```
data_AcCeNd2
_cell_length_a 8.403
_cell_length_b 8.403
_cell_length_c 8.403
_cell_angle_alpha 90.00
_cell_angle_beta 90.00
_cell_angle_gamma 90.00
_space_group_name_H-M_alt 'F m -3 m'
_space_group_IT_number 225
_space_group_name_Hall '-F 4 2 3'
loop_
_atom_site_label
_atom_site_fract_x
_atom_site_fract_y
_atom_site_fract_z
Ac1 0.000 0.000 0.000
Ce1 0.000 0.000 0.500
Nd1 0.250 0.250 0.250
```

---

# 7
DFT (PBE) results for a geometry-optimized CeSnH8Ir2 structure.

Results
The total energy is -163.9 eV for the cell shown.

Geometry as CIF:
```
data_CeSnH8Ir2
_cell_length_a 4.1282
_cell_length_b 4.1282
_cell_length_c 24.6802
_cell_angle_alpha 90.00
_cell_angle_beta 90.00
_cell_angle_gamma 120.00
_space_group_name_H-M_alt 'R -3'
_space_group_IT_number 148
_space_group_name_Hall '-R 3'
loop_
_atom_site_label
_atom_site_fract_x
_atom_site_fract_y
_atom_site_fract_z
Ce1 0.0000 0.0000 0.0000
Sn1 0.0000 0.0000 0.5000
H1 0.0000 0.0000 0.3190
H2 0.0074 0.5899 0.7504
Ir1 0.0000 0.0000 0.2517
```

---

# 8
DFT (PBE) results for a geometry-optimized ZrMoAu2 structure.

Results
For the energy above the most stable polymorph in this dataset, the calculation gives 0.048 eV/atom. The value obtained for the energy of formation is -0.09 eV/atom.

Geometry as CIF:
```
data_ZrMoAu2
_cell_length_a 2.917
_cell_length_b 4.770
_cell_length_c 5.175
_cell_angle_alpha 90.00
_cell_angle_beta 90.00
_cell_angle_gamma 90.00
_space_group_name_H-M_alt 'P m m 2'
_space_group_IT_number 25
loop_
_space_group_symop_operation_xyz
'x,y,z'
'-x,-y,z'
'-x,y,z'
'x,-y,z'
loop_
_atom_site_label
_atom_site_fract_x
_atom_site_fract_y
_atom_site_fract_z
Zr1 0.000 0.000 0.000
Mo1 0.000 0.500 0.337
Au1 0.500 0.000 0.493
Au2 0.500 0.500 0.820
```

---

Question: Number 8 is which compound?
Answer: ZrMoAu2

---

Question: Which formula does entry 2 have?
Answer: PaSi2MoRu